A plane-wave DFT calculation with PBE was carried out for an optimized crystal structure of TlCo2Ni.

Output
For the energy above the most stable polymorph in this dataset, the calculation gives 74 meV per atom. For the energy relative to the elements, the calculation gives 166 kJ/mol of formula units. The calculation puts the spin magnetization at 3.7 μB per formula unit.

a = 2.8322 Å, b = 3.4009 Å, c = 5.8868 Å
α = 90.00°, β = 90.16°, γ = 90.00°
Last column: nearest neighbours and their distance in Å.
Space group P2/m (No. 10)
Unique sites:
Tl  0.0000  0.0000  0.0000 x1  2 Tl 2.83, 8 Co 2.84, 2 Ni 2.94
Co  0.5005  0.5000  0.3017 x2  1 Co 2.33, 4 Ni 2.50
Ni  0.0000  0.0000  0.5000 x1  8 Co 2.50